Density functional theory data (GGA-PBE) for a relaxed Tb8Pm4Ho3 crystal.

**Energy**: -0.3148 Ry/atom
**Formation energy from the elements**: 368.8 meV per atom
**D(E_F)**: 29.40 states/eV per cell
**Excess energy over the best structure of this formula in the dataset**: 23.71 kJ per mole of atoms
**Total magnetization**: 0.00 μB per cell

a b c (Å): 9.283 9.283 6.778
angles (deg): 111.29 111.29 87.24
Sites, in units of the cell vectors:
Tb1 0.140 0.860 0.000
Tb2 0.229 0.229 0.459
Tb3 0.234 0.234 0.987
Tb4 0.245 0.755 0.500
Tb5 0.755 0.245 0.500
Tb6 0.766 0.766 0.013
Tb7 0.771 0.771 0.541
Tb8 0.860 0.140 0.000
Pm1 0.000 0.500 0.500
Pm2 0.500 0.000 0.500
Pm3 0.500 0.500 0.000
Pm4 0.500 0.500 0.500
Ho1 0.000 0.000 0.500
Ho2 0.000 0.500 0.000
Ho3 0.500 0.000 0.000

=====

Density functional theory data (GGA-PBE) for a relaxed Tb5PmHo2 crystal.

**Energy**: -0.3394 Ry/atom
**Formation energy from the elements**: 15.0 meV per atom
**D(E_F)**: 20.15 states/eV per cell
**Total magnetization**: 0.00 μB per cell

a b c (Å): 7.131 14.263 5.027
angles (deg): 90.00 90.00 90.00
Sites, in units of the cell vectors:
Tb1 0.000 0.000 0.000
Tb2 0.001 0.249 0.000
Tb3 0.249 0.874 0.500
Tb4 0.251 0.374 0.500
Tb5 0.499 0.749 0.000
Tb6 0.500 0.500 0.000
Tb7 0.501 0.251 0.000
Tb8 0.749 0.626 0.500
Tb9 0.751 0.126 0.500
Tb10 0.999 0.751 0.000
Pm1 0.000 0.500 0.000
Pm2 0.500 0.000 0.000
Ho1 0.250 0.125 0.500
Ho2 0.250 0.625 0.500
Ho3 0.750 0.375 0.500
Ho4 0.750 0.875 0.500

=====

Density functional theory data (GGA-PBE) for a relaxed Tb2Pm3Ho3 crystal.

**Energy**: -0.3408 Ry/atom
**Formation energy from the elements**: 18.7 meV per atom
**D(E_F)**: 11.80 states/eV per cell
**Excess energy over the best structure of this formula in the dataset**: 0.00 kJ per mole of atoms
**Total magnetization**: 0.00 μB per cell

a b c (Å): 10.749 10.749 10.749
angles (deg): 152.80 152.75 38.88
Sites, in units of the cell vectors:
Tb1 0.250 0.250 0.000
Tb2 0.750 0.750 0.000
Pm1 0.000 0.000 0.000
Pm2 0.375 0.875 0.500
Pm3 0.625 0.125 0.500
Ho1 0.126 0.626 0.500
Ho2 0.500 0.500 0.000
Ho3 0.874 0.374 0.500

=====

Density functional theory data (GGA-PBE) for a relaxed Tb7Pm2Ho4 crystal.

**Energy**: -0.3272 Ry/atom
**Formation energy from the elements**: 180.3 meV per atom
**D(E_F)**: 17.77 states/eV per cell
**Total magnetization**: 0.00 μB per cell

a b c (Å): 6.082 6.082 13.283
angles (deg): 90.00 90.00 120.00
Sites, in units of the cell vectors:
Tb1 0.000 0.000 0.000
Tb2 0.000 0.358 0.218
Tb3 0.000 0.642 0.782
Tb4 0.358 0.000 0.218
Tb5 0.358 0.358 0.782
Tb6 0.642 0.000 0.782
Tb7 0.642 0.642 0.218
Pm1 0.333 0.667 0.000
Pm2 0.667 0.333 0.000
Ho1 0.000 0.000 0.395
Ho2 0.000 0.000 0.605
Ho3 0.333 0.667 0.500
Ho4 0.667 0.333 0.500

=====

Density functional theory data (GGA-PBE) for a relaxed Tb5PmHo crystal.

**Energy**: -0.2614 Ry/atom
**Formation energy from the elements**: 1083.4 meV per atom
**D(E_F)**: 9.56 states/eV per cell
**Excess energy over the best structure of this formula in the dataset**: 86.57 kJ per mole of atoms
**Total magnetization**: 0.00 μB per cell

a b c (Å): 7.902 7.902 7.902
angles (deg): 137.04 113.42 82.57
Sites, in units of the cell vectors:
Tb1 0.000 0.000 0.000
Tb2 0.247 0.747 0.500
Tb3 0.321 0.500 0.821
Tb4 0.679 0.500 0.179
Tb5 0.753 0.253 0.500
Pm1 0.500 0.000 0.500
Ho1 0.000 0.500 0.500

=====

Density functional theory data (GGA-PBE) for a relaxed TbPm7Ho2 crystal.

**Energy**: -0.3171 Ry/atom
**Formation energy from the elements**: 389.4 meV per atom
**D(E_F)**: 15.23 states/eV per cell
**Excess energy over the best structure of this formula in the dataset**: 0.00 kJ per mole of atoms
**Total magnetization**: 0.00 μB per cell

a b c (Å): 10.345 10.345 3.509
angles (deg): 90.00 90.00 108.79
Sites, in units of the cell vectors:
Tb1 0.000 0.000 0.000
Pm1 0.125 0.385 0.500
Pm2 0.323 0.677 0.000
Pm3 0.385 0.125 0.500
Pm4 0.500 0.500 0.500
Pm5 0.615 0.875 0.500
Pm6 0.677 0.323 0.000
Pm7 0.875 0.615 0.500
Ho1 0.167 0.833 0.500
Ho2 0.833 0.167 0.500

=====

Density functional theory data (GGA-PBE) for a relaxed Tb4Pm4Ho crystal.

**Energy**: -0.3425 Ry/atom
**Formation energy from the elements**: 17.3 meV per atom
**D(E_F)**: 13.37 states/eV per cell
**Excess energy over the best structure of this formula in the dataset**: 0.00 kJ per mole of atoms
**Total magnetization**: 0.00 μB per cell

a b c (Å): 8.044 8.044 8.044
angles (deg): 95.73 95.73 143.16
Sites, in units of the cell vectors:
Tb1 0.166 0.166 0.332
Tb2 0.166 0.834 0.000
Tb3 0.834 0.166 0.000
Tb4 0.834 0.834 0.668
Pm1 0.169 0.500 0.669
Pm2 0.500 0.169 0.669
Pm3 0.500 0.831 0.331
Pm4 0.831 0.500 0.331
Ho1 0.500 0.500 0.000

=====

Density functional theory data (GGA-PBE) for a relaxed Tb8Pm3Ho3 crystal.

**Energy**: -0.3326 Ry/atom
**Formation energy from the elements**: 120.1 meV per atom
**D(E_F)**: 19.95 states/eV per cell
**Excess energy over the best structure of this formula in the dataset**: 1.36 kJ per mole of atoms
**Total magnetization**: 0.00 μB per cell

a b c (Å): 9.690 9.690 9.690
angles (deg): 146.22 112.48 77.67
Sites, in units of the cell vectors:
Tb1 0.057 0.396 0.660
Tb2 0.063 0.222 0.841
Tb3 0.264 0.604 0.660
Tb4 0.381 0.222 0.159
Tb5 0.619 0.778 0.841
Tb6 0.736 0.396 0.340
Tb7 0.937 0.778 0.159
Tb8 0.943 0.604 0.340
Pm1 0.000 0.000 0.000
Pm2 0.304 0.000 0.304
Pm3 0.696 0.000 0.696
Ho1 0.315 0.815 0.500
Ho2 0.500 0.500 0.000
Ho3 0.685 0.185 0.500

=====

Density functional theory data (GGA-PBE) for a relaxed Tb11Pm9Ho4 crystal.

**Energy**: -0.3391 Ry/atom
**Formation energy from the elements**: 52.6 meV per atom
**D(E_F)**: 32.16 states/eV per cell
**Total magnetization**: 0.00 μB per cell

a b c (Å): 15.317 15.317 3.694
angles (deg): 90.00 90.00 113.51
Sites, in units of the cell vectors:
Tb1 0.000 0.000 0.000
Tb2 0.044 0.405 0.000
Tb3 0.162 0.838 0.000
Tb4 0.290 0.290 0.000
Tb5 0.368 0.632 0.000
Tb6 0.405 0.044 0.000
Tb7 0.595 0.956 0.000
Tb8 0.632 0.368 0.000
Tb9 0.710 0.710 0.000
Tb10 0.838 0.162 0.000
Tb11 0.956 0.595 0.000
Pm1 0.065 0.213 0.500
Pm2 0.164 0.629 0.500
Pm3 0.213 0.065 0.500
Pm4 0.371 0.836 0.500
Pm5 0.500 0.500 0.500
Pm6 0.629 0.164 0.500
Pm7 0.787 0.935 0.500
Pm8 0.836 0.371 0.500
Pm9 0.935 0.787 0.500
Ho1 0.243 0.444 0.500
Ho2 0.444 0.243 0.500
Ho3 0.556 0.757 0.500
Ho4 0.757 0.556 0.500

=====

Density functional theory data (GGA-PBE) for a relaxed Tb7PmHo3 crystal.

**Energy**: -0.3260 Ry/atom
**Formation energy from the elements**: 192.0 meV per atom
**D(E_F)**: 17.50 states/eV per cell
**Total magnetization**: 0.00 μB per cell

a b c (Å): 7.070 7.070 8.594
angles (deg): 90.00 90.00 120.00
Sites, in units of the cell vectors:
Tb1 0.000 0.000 0.000
Tb2 0.165 0.331 0.670
Tb3 0.165 0.835 0.670
Tb4 0.501 0.002 0.006
Tb5 0.501 0.499 0.006
Tb6 0.669 0.835 0.670
Tb7 0.998 0.499 0.006
Pm1 0.667 0.333 0.676
Ho1 0.333 0.166 0.337
Ho2 0.834 0.166 0.337
Ho3 0.834 0.667 0.337

=====

Density functional theory data (GGA-PBE) for a relaxed Tb4Pm19Ho6 crystal.

**Energy**: -0.3182 Ry/atom
**Formation energy from the elements**: 368.4 meV per atom
**D(E_F)**: 41.52 states/eV per cell
**Total magnetization**: 0.00 μB per cell

a b c (Å): 10.934 10.934 10.934
angles (deg): 109.47 109.47 109.47
Sites, in units of the cell vectors:
Tb1 0.000 0.000 0.361
Tb2 0.000 0.361 0.000
Tb3 0.361 0.000 0.000
Tb4 0.639 0.639 0.639
Pm1 0.000 0.000 0.000
Pm2 0.000 0.260 0.260
Pm3 0.000 0.740 0.740
Pm4 0.019 0.219 0.676
Pm5 0.201 0.981 0.657
Pm6 0.219 0.676 0.019
Pm7 0.260 0.000 0.260
Pm8 0.260 0.260 0.000
Pm9 0.324 0.543 0.343
Pm10 0.343 0.324 0.543
Pm11 0.457 0.781 0.799
Pm12 0.543 0.343 0.324
Pm13 0.657 0.201 0.981
Pm14 0.676 0.019 0.219
Pm15 0.740 0.000 0.740
Pm16 0.740 0.740 0.000
Pm17 0.781 0.799 0.457
Pm18 0.799 0.457 0.781
Pm19 0.981 0.657 0.201
Ho1 0.125 0.500 0.625
Ho2 0.375 0.875 0.500
Ho3 0.500 0.375 0.875
Ho4 0.500 0.625 0.125
Ho5 0.625 0.125 0.500
Ho6 0.875 0.500 0.375

=====

Density functional theory data (GGA-PBE) for a relaxed TbPm2Ho6 crystal.

**Energy**: -0.3243 Ry/atom
**Formation energy from the elements**: 209.4 meV per atom
**D(E_F)**: 24.52 states/eV per cell
**Excess energy over the best structure of this formula in the dataset**: 9.64 kJ per mole of atoms
**Total magnetization**: 0.00 μB per cell

a b c (Å): 9.957 9.957 6.438
angles (deg): 107.22 107.22 89.64
Sites, in units of the cell vectors:
Tb1 0.134 0.866 0.750
Tb2 0.866 0.134 0.250
Pm1 0.315 0.391 0.539
Pm2 0.391 0.315 0.039
Pm3 0.609 0.685 0.961
Pm4 0.685 0.609 0.461
Ho1 0.036 0.554 0.299
Ho2 0.057 0.197 0.950
Ho3 0.197 0.057 0.450
Ho4 0.261 0.630 0.980
Ho5 0.370 0.739 0.520
Ho6 0.446 0.964 0.201
Ho7 0.554 0.036 0.799
Ho8 0.630 0.261 0.480
Ho9 0.739 0.370 0.020
Ho10 0.803 0.943 0.550
Ho11 0.943 0.803 0.050
Ho12 0.964 0.446 0.701

=====

Density functional theory data (GGA-PBE) for a relaxed TbPmHo crystal.

**Energy**: -0.3371 Ry/atom
**Formation energy from the elements**: 66.8 meV per atom
**D(E_F)**: 4.98 states/eV per cell
**Excess energy over the best structure of this formula in the dataset**: 5.17 kJ per mole of atoms
**Total magnetization**: 0.00 μB per cell

a b c (Å): 5.650 5.650 3.499
angles (deg): 90.00 90.00 120.00
Sites, in units of the cell vectors:
Tb1 0.000 0.000 0.000
Pm1 0.333 0.667 0.500
Ho1 0.667 0.333 0.500

=====

Density functional theory data (GGA-PBE) for a relaxed Tb4PmHo4 crystal.

**Energy**: -0.3334 Ry/atom
**Formation energy from the elements**: 83.8 meV per atom
**D(E_F)**: 20.36 states/eV per cell
**Excess energy over the best structure of this formula in the dataset**: 6.36 kJ per mole of atoms
**Total magnetization**: 0.00 μB per cell

a b c (Å): 9.142 9.142 10.815
angles (deg): 93.27 93.27 139.76
Sites, in units of the cell vectors:
Tb1 0.142 0.858 0.166
Tb2 0.142 0.858 0.834
Tb3 0.143 0.857 0.500
Tb4 0.314 0.686 0.000
Tb5 0.686 0.314 0.000
Tb6 0.857 0.143 0.500
Tb7 0.858 0.142 0.166
Tb8 0.858 0.142 0.834
Pm1 0.278 0.278 0.720
Pm2 0.722 0.722 0.280
Ho1 0.274 0.274 0.054
Ho2 0.274 0.274 0.388
Ho3 0.309 0.681 0.334
Ho4 0.319 0.691 0.666
Ho5 0.681 0.309 0.334
Ho6 0.691 0.319 0.666
Ho7 0.726 0.726 0.612
Ho8 0.726 0.726 0.946

=====

Density functional theory data (GGA-PBE) for a relaxed TbPm2Ho4 crystal.

**Energy**: -0.3308 Ry/atom
**Formation energy from the elements**: 133.2 meV per atom
**D(E_F)**: 23.18 states/eV per cell
**Excess energy over the best structure of this formula in the dataset**: 8.16 kJ per mole of atoms
**Total magnetization**: 0.00 μB per cell

a b c (Å): 6.087 6.595 11.638
angles (deg): 90.00 104.95 90.00
Sites, in units of the cell vectors:
Tb1 0.026 0.250 0.359
Tb2 0.974 0.750 0.641
Pm1 0.154 0.250 0.948
Pm2 0.399 0.750 0.509
Pm3 0.601 0.250 0.491
Pm4 0.846 0.750 0.052
Ho1 0.147 0.250 0.663
Ho2 0.285 0.750 0.925
Ho3 0.345 0.505 0.211
Ho4 0.345 0.995 0.211
Ho5 0.655 0.005 0.789
Ho6 0.655 0.495 0.789
Ho7 0.715 0.250 0.075
Ho8 0.853 0.750 0.337

=====

Density functional theory data (GGA-PBE) for a relaxed TbPm2Ho7 crystal.

**Energy**: -0.3276 Ry/atom
**Formation energy from the elements**: 160.3 meV per atom
**D(E_F)**: 15.38 states/eV per cell
**Excess energy over the best structure of this formula in the dataset**: 13.85 kJ per mole of atoms
**Total magnetization**: 0.00 μB per cell

a b c (Å): 14.730 14.730 3.510
angles (deg): 90.00 90.00 154.63
Sites, in units of the cell vectors:
Tb1 0.000 0.000 0.000
Pm1 0.292 0.708 0.500
Pm2 0.708 0.292 0.500
Ho1 0.148 0.345 0.500
Ho2 0.185 0.815 0.000
Ho3 0.345 0.148 0.500
Ho4 0.500 0.500 0.500
Ho5 0.655 0.852 0.500
Ho6 0.815 0.185 0.000
Ho7 0.852 0.655 0.500

=====

Density functional theory data (GGA-PBE) for a relaxed Tb5PmHo2 crystal.

**Energy**: -0.3394 Ry/atom
**Formation energy from the elements**: 14.3 meV per atom
**D(E_F)**: 28.34 states/eV per cell
**Total magnetization**: 0.00 μB per cell

a b c (Å): 6.747 9.218 9.220
angles (deg): 86.02 72.03 72.15
Sites, in units of the cell vectors:
Tb1 0.123 0.396 0.231
Tb2 0.125 0.896 0.730
Tb3 0.128 0.229 0.896
Tb4 0.375 0.522 0.855
Tb5 0.376 0.854 0.019
Tb6 0.624 0.146 0.981
Tb7 0.625 0.478 0.145
Tb8 0.872 0.771 0.104
Tb9 0.875 0.104 0.270
Tb10 0.877 0.604 0.769
Pm1 0.127 0.730 0.394
Pm2 0.873 0.270 0.606
Ho1 0.375 0.354 0.520
Ho2 0.376 0.023 0.355
Ho3 0.624 0.977 0.645
Ho4 0.625 0.646 0.480

=====

Density functional theory data (GGA-PBE) for a relaxed Tb3PmHo7 crystal.

**Energy**: -0.3278 Ry/atom
**Formation energy from the elements**: 148.5 meV per atom
**D(E_F)**: 17.63 states/eV per cell
**Excess energy over the best structure of this formula in the dataset**: 0.00 kJ per mole of atoms
**Total magnetization**: 0.00 μB per cell

a b c (Å): 6.929 5.517 9.894
angles (deg): 90.00 109.87 90.00
Sites, in units of the cell vectors:
Tb1 0.000 0.000 0.000
Tb2 0.221 0.500 0.502
Tb3 0.779 0.500 0.498
Pm1 0.500 0.000 0.000
Ho1 0.079 0.000 0.669
Ho2 0.178 0.500 0.858
Ho3 0.353 0.500 0.210
Ho4 0.500 0.000 0.500
Ho5 0.647 0.500 0.790
Ho6 0.822 0.500 0.142
Ho7 0.921 0.000 0.331

=====

Density functional theory data (GGA-PBE) for a relaxed Tb2Pm3Ho5 crystal.

**Energy**: -0.3268 Ry/atom
**Formation energy from the elements**: 193.2 meV per atom
**D(E_F)**: 36.42 states/eV per cell
**Excess energy over the best structure of this formula in the dataset**: 0.00 kJ per mole of atoms
**Total magnetization**: 0.00 μB per cell

a b c (Å): 9.593 9.593 9.402
angles (deg): 108.41 108.41 112.33
Sites, in units of the cell vectors:
Tb1 0.033 0.271 0.047
Tb2 0.271 0.033 0.547
Tb3 0.729 0.967 0.453
Tb4 0.967 0.729 0.953
Pm1 0.231 0.479 0.453
Pm2 0.267 0.733 0.250
Pm3 0.479 0.231 0.953
Pm4 0.521 0.769 0.047
Pm5 0.733 0.267 0.750
Pm6 0.769 0.521 0.547
Ho1 0.029 0.971 0.750
Ho2 0.126 0.355 0.731
Ho3 0.228 0.772 0.750
Ho4 0.355 0.126 0.231
Ho5 0.475 0.525 0.250
Ho6 0.525 0.475 0.750
Ho7 0.645 0.874 0.769
Ho8 0.772 0.228 0.250
Ho9 0.874 0.645 0.269
Ho10 0.971 0.029 0.250